Here is RbSc2AgI8 after structural relaxation from Alexandria via LeMat-Bulk. Energies are from PBE.

* total magnetization: 0.00 μB per cell
* formation energy (no corrections): -1.031 eV per atom
* crystal system: trigonal
* total DFT energy (no corrections): -41.26 eV per cell

Unit cell a=7.6980 b=7.6980 c=10.7606 alpha=90.00 beta=90.00 gamma=120.00
Atoms (fractional coordinates):
Rb 0.0000 0.0000 0.0000
Sc 0.3333 0.6667 0.7437
Sc 0.6667 0.3333 0.2563
Ag 0.0000 0.0000 0.5000
I 0.9996 0.3178 0.6729
I 0.0004 0.6822 0.3271
I 0.3182 0.0004 0.6729
I 0.3178 0.3182 0.3271
I 0.3333 0.6667 0.9954
I 0.6667 0.3333 0.0046
I 0.6818 0.9996 0.3271
I 0.6822 0.6818 0.6729

***

Here is YIn2Co after structural relaxation from Alexandria via LeMat-Bulk. Energies are from PBE.

* total magnetization: 0.00 μB per cell
* DFT formation energy: -110.3 meV/atom
* crystal system: orthorhombic
* total DFT energy (no corrections): -19.49 eV per cell

Unit cell a=3.5641 b=6.4574 c=6.4574 alpha=37.16 beta=90.00 gamma=90.00
Atoms (fractional coordinates):
Y 0.0000 0.0000 0.0000
In 0.0000 0.2867 0.2867
In 0.5000 0.6628 0.6628
Co 0.5000 0.4494 0.4494

***

Here is BiRu after structural relaxation from Alexandria via LeMat-Bulk. Energies are from PBE.

* total magnetization: 0.00 μB per cell
* DFT formation energy: 313.1 meV/atom
* crystal system: monoclinic
* total DFT energy (no corrections): -25.06 eV per cell

Unit cell a=4.2082 b=4.2082 c=6.7849 alpha=107.85 beta=107.85 gamma=59.24
Atoms (fractional coordinates):
Bi 0.0972 0.0972 0.2848
Bi 0.9028 0.9028 0.7151
Ru 0.3482 0.3482 0.0378
Ru 0.6518 0.6518 0.9622

***

Here is Pm2YCuTe5 after structural relaxation from Alexandria via LeMat-Bulk. Energies are from PBE.

* total magnetization: 0.00 μB per cell
* formation energy (no corrections): -1.196 eV per atom
* crystal system: orthorhombic
* total DFT energy (no corrections): -93.07 eV per cell

Unit cell a=9.7475 b=9.7475 c=12.9971 alpha=90.00 beta=90.00 gamma=154.53
Atoms (fractional coordinates):
Pm 0.1089 0.8911 0.5000
Pm 0.1241 0.8759 0.1205
Pm 0.8759 0.1241 0.6205
Pm 0.8911 0.1089 0.0000
Y 0.1905 0.8095 0.8241
Y 0.8095 0.1905 0.3241
Cu 0.4292 0.5708 0.2730
Cu 0.5708 0.4292 0.7730
Te 0.0411 0.9589 0.8791
Te 0.2860 0.7140 0.4880
Te 0.3129 0.6871 0.1560
Te 0.3551 0.6449 0.8136
Te 0.5001 0.4999 0.1008
Te 0.4999 0.5001 0.6008
Te 0.6449 0.3551 0.3136
Te 0.6871 0.3129 0.6560
Te 0.7140 0.2860 0.9880
Te 0.9589 0.0411 0.3791

***

Here is RbCuAsSe after structural relaxation from Alexandria via LeMat-Bulk. Energies are from PBE.

* total magnetization: 0.00 μB per cell
* formation energy (no corrections): -0.393 eV per atom
* crystal system: tetragonal
* total DFT energy (no corrections): -29.54 eV per cell

Unit cell a=3.9085 b=3.9085 c=13.3890 alpha=90.00 beta=90.00 gamma=90.00
Atoms (fractional coordinates):
Rb 0.2500 0.2500 0.2327
Rb 0.7500 0.7500 0.7673
Cu 0.2500 0.7500 0.5000
Cu 0.7500 0.2500 0.5000
As 0.2500 0.7500 0.0000
As 0.7500 0.2500 0.0000
Se 0.2500 0.2500 0.6129
Se 0.7500 0.7500 0.3871

***

Here is CaAc2Ag4 after structural relaxation from Alexandria via LeMat-Bulk. Energies are from PBE.

* total magnetization: 0.00 μB per cell
* DFT formation energy: -107.5 meV/atom
* crystal system: trigonal
* total DFT energy (no corrections): -22.38 eV per cell

Unit cell a=9.3423 b=9.3423 c=9.3423 alpha=33.36 beta=33.36 gamma=33.36
Atoms (fractional coordinates):
Ca 0.0000 0.0000 0.0000
Ac 0.2420 0.2420 0.2420
Ac 0.7580 0.7580 0.7580
Ag 0.1187 0.1187 0.1187
Ag 0.3667 0.3667 0.3667
Ag 0.6333 0.6333 0.6333
Ag 0.8813 0.8813 0.8813

***

total DFT energy (no corrections) of number 2 (YIn2Co)? -19.49 eV per cell